The following is a DFT calculation (PBE) of a relaxed AcPu2Ni crystal.

symmetry	P4/mmm (123)
relative energy among the computed polymorphs	0	meV/atom
DFT formation energy	0.146	eV per atom
final energy	-9.492	eV per atom
magnetic moment	2.8077	μB/atom
crystal system	tetragonal

Cell lengths 3.5778, 3.5778, 8.3710 Å; angles 90.00, 90.00, 90.00 degrees
Site moments in Bohr magnetons follow the coordinates.
Positions (direct):
Ni 0.5000 0.5000 0.0000  -0.17
Ac 0.5000 0.5000 0.5000  0.04
Pu 0.0000 0.0000 0.8221  5.35
Pu 0.0000 0.0000 0.1779  5.35


The following is a DFT calculation (PBE) of a relaxed La2MgCdH crystal.

symmetry	P4/mmm (123)
relative energy among the computed polymorphs	0	meV/atom
final energy	-3.433	eV per atom
magnetic moment	0.0000	μB/atom
crystal system	tetragonal

Cell lengths 5.0920, 5.0920, 4.6170 Å; angles 90.00, 90.00, 90.00 degrees
Positions (direct):
La 0.0000 0.5000 0.0000
La 0.5000 0.0000 0.0000
H 0.0000 0.0000 0.0000
Mg 0.0000 0.0000 0.5000
Cd 0.5000 0.5000 0.5000


The following is a DFT calculation (PBE) of a relaxed Pr3Al4Hg2 crystal.

symmetry	C2/m (12)
DFT formation energy	-0.456	eV per atom
final energy	-3.780	eV per atom
magnetic moment	0.0000	μB/atom
crystal system	monoclinic

Cell lengths 4.6822, 6.0966, 8.9622 Å; angles 109.29, 90.00, 112.58 degrees
Positions (direct):
Al 0.2660 0.5320 0.9373
Hg 0.3858 0.7716 0.7202
Hg 0.6142 0.2284 0.2798
Pr 0.3344 0.6687 0.3325
Pr 0.6656 0.3313 0.6675
Al 0.7340 0.4680 0.0627
Al 0.0466 0.0933 0.3833
Pr 0.0000 0.0000 0.0000
Al 0.9534 0.9067 0.6167